P) The following is a PBE calculation of a geometry-optimized BeZnCoRe structure, from the Open Quantum Materials Database.

As for the crystal system: cubic.

The structure belongs to space group F-43m (No. 216); the cell edges are 5.7419, 5.7419 and 5.7419 Å and the angles 90.00°, 90.00° and 90.00°. The distinct sites, in fractional coordinates, are Be at (0.0000, 0.0000, 0.0000), Zn at (0.2500, 0.2500, 0.2500), Co at (0.0000, 0.0000, 0.5000) and Re at (0.2500, 0.2500, 0.7500).



Q) The following is a PBE calculation of a geometry-optimized BeZnCoRe structure, from the Open Quantum Materials Database.

As for the crystal system: cubic.

The structure belongs to space group F-43m (No. 216); the cell edges are 5.7561, 5.7561 and 5.7561 Å and the angles 90.00°, 90.00° and 90.00°. The distinct sites, in fractional coordinates, are Be at (0.0000, 0.0000, 0.0000), Zn at (0.0000, 0.0000, 0.5000), Co at (0.2500, 0.2500, 0.7500) and Re at (0.2500, 0.2500, 0.2500).



Ordering by calculated energy gives the sequence P), Q), with the first entry being the most stable.



P) The following is a PBE calculation of a geometry-optimized BeCoSbW structure, from the Open Quantum Materials Database.

As for the crystal system: cubic.

The structure belongs to space group F-43m (No. 216); the cell edges are 6.1043, 6.1043 and 6.1043 Å and the angles 90.00°, 90.00° and 90.00°. The distinct sites, in fractional coordinates, are Be at (0.0000, 0.0000, 0.0000), Co at (0.2500, 0.2500, 0.7500), Sb at (0.0000, 0.0000, 0.5000) and W at (0.2500, 0.2500, 0.2500).



Q) The following is a PBE calculation of a geometry-optimized BeCoSbW structure, from the Open Quantum Materials Database.

As for the crystal system: cubic.

The structure belongs to space group F-43m (No. 216); the cell edges are 6.0778, 6.0778 and 6.0778 Å and the angles 90.00°, 90.00° and 90.00°. The distinct sites, in fractional coordinates, are Be at (0.0000, 0.0000, 0.0000), Co at (0.0000, 0.0000, 0.5000), Sb at (0.2500, 0.2500, 0.2500) and W at (0.2500, 0.2500, 0.7500).



Ordering by calculated energy gives the sequence P), Q), with the first entry being the most stable.



P) The following is a PBE calculation of a geometry-optimized BeZnCoSb structure, from the Open Quantum Materials Database.

As for the crystal system: cubic.

The structure belongs to space group F-43m (No. 216); the cell edges are 6.0808, 6.0808 and 6.0808 Å and the angles 90.00°, 90.00° and 90.00°. The distinct sites, in fractional coordinates, are Be at (0.0000, 0.0000, 0.0000), Zn at (0.2500, 0.2500, 0.7500), Co at (0.0000, 0.0000, 0.5000) and Sb at (0.2500, 0.2500, 0.2500).



Q) The following is a PBE calculation of a geometry-optimized BeZnCoSb structure, from the Open Quantum Materials Database.

As for the crystal system: cubic.

The structure belongs to space group F-43m (No. 216); the cell edges are 6.1759, 6.1759 and 6.1759 Å and the angles 90.00°, 90.00° and 90.00°. The distinct sites, in fractional coordinates, are Be at (0.0000, 0.0000, 0.0000), Zn at (0.0000, 0.0000, 0.5000), Co at (0.2500, 0.2500, 0.7500) and Sb at (0.2500, 0.2500, 0.2500).



Ordering by calculated energy gives the sequence P), Q), with the first entry being the most stable.



P) The following is a PBE calculation of a geometry-optimized ZrBeCoSb structure, from the Open Quantum Materials Database.

As for the crystal system: cubic.

The structure belongs to space group F-43m (No. 216); the cell edges are 6.2839, 6.2839 and 6.2839 Å and the angles 90.00°, 90.00° and 90.00°. The distinct sites, in fractional coordinates, are Zr at (0.0000, 0.0000, 0.0000), Be at (0.2500, 0.2500, 0.2500), Co at (0.2500, 0.2500, 0.7500) and Sb at (0.0000, 0.0000, 0.5000).



Q) The following is a PBE calculation of a geometry-optimized ZrBeCoSb structure, from the Open Quantum Materials Database.

As for the crystal system: cubic.

The structure belongs to space group F-43m (No. 216); the cell edges are 6.3681, 6.3681 and 6.3681 Å and the angles 90.00°, 90.00° and 90.00°. The distinct sites, in fractional coordinates, are Zr at (0.0000, 0.0000, 0.0000), Be at (0.2500, 0.2500, 0.7500), Co at (0.0000, 0.0000, 0.5000) and Sb at (0.2500, 0.2500, 0.2500).



Ordering by calculated energy gives the sequence P), Q), with the first entry being the most stable.



P) The following is a PBE calculation of a geometry-optimized ScBeTlCo structure, from the Open Quantum Materials Database.

As for the crystal system: cubic.

The structure belongs to space group F-43m (No. 216); the cell edges are 6.3117, 6.3117 and 6.3117 Å and the angles 90.00°, 90.00° and 90.00°. The distinct sites, in fractional coordinates, are Sc at (0.0000, 0.0000, 0.0000), Be at (0.2500, 0.2500, 0.7500), Tl at (0.2500, 0.2500, 0.2500) and Co at (0.0000, 0.0000, 0.5000).



Q) The following is a PBE calculation of a geometry-optimized ScBeTlCo structure, from the Open Quantum Materials Database.

As for the crystal system: cubic.

The structure belongs to space group F-43m (No. 216); the cell edges are 6.2649, 6.2649 and 6.2649 Å and the angles 90.00°, 90.00° and 90.00°. The distinct sites, in fractional coordinates, are Sc at (0.0000, 0.0000, 0.0000), Be at (0.2500, 0.2500, 0.2500), Tl at (0.0000, 0.0000, 0.5000) and Co at (0.2500, 0.2500, 0.7500).



Ordering by calculated energy gives the sequence Q), P), with the first entry being the most stable.



P) The following is a PBE calculation of a geometry-optimized BeCoSi structure, from the Open Quantum Materials Database.

As for the crystal system: cubic.

The structure belongs to space group F-43m (No. 216); the cell edges are 5.1978, 5.1978 and 5.1978 Å and the angles 90.00°, 90.00° and 90.00°. The distinct sites, in fractional coordinates, are Be at (0.0000, 0.0000, 0.0000), Co at (0.2500, 0.2500, 0.2500) and Si at (0.0000, 0.0000, 0.5000).



Q) The following is a PBE calculation of a geometry-optimized BeCoSi structure, from the Open Quantum Materials Database.

As for the crystal system: cubic.

The structure belongs to space group F-43m (No. 216); the cell edges are 5.0919, 5.0919 and 5.0919 Å and the angles 90.00°, 90.00° and 90.00°. The distinct sites, in fractional coordinates, are Be at (0.0000, 0.0000, 0.0000), Co at (0.2500, 0.2500, 0.7500) and Si at (0.2500, 0.2500, 0.2500).



Ordering by calculated energy gives the sequence P), Q), with the first entry being the most stable.



P) The following is a PBE calculation of a geometry-optimized TaBeCoSi structure, from the Open Quantum Materials Database.

As for the crystal system: cubic.

The structure belongs to space group F-43m (No. 216); the cell edges are 5.8204, 5.8204 and 5.8204 Å and the angles 90.00°, 90.00° and 90.00°. The distinct sites, in fractional coordinates, are Ta at (0.0000, 0.0000, 0.0000), Be at (0.2500, 0.2500, 0.7500), Co at (0.0000, 0.0000, 0.5000) and Si at (0.2500, 0.2500, 0.2500).



Q) The following is a PBE calculation of a geometry-optimized TaBeCoSi structure, from the Open Quantum Materials Database.

As for the crystal system: cubic.

The structure belongs to space group F-43m (No. 216); the cell edges are 5.8061, 5.8061 and 5.8061 Å and the angles 90.00°, 90.00° and 90.00°. The distinct sites, in fractional coordinates, are Ta at (0.0000, 0.0000, 0.0000), Be at (0.2500, 0.2500, 0.2500), Co at (0.2500, 0.2500, 0.7500) and Si at (0.0000, 0.0000, 0.5000).



Ordering by calculated energy gives the sequence Q), P), with the first entry being the most stable.